PaOsRhO6 PBE optimized geometry; calculated total energy = -8.165 eV per atom; calculated density = 9.33 g cm⁻³; total moment = 3.24 μB per cell; energy relative to the elements, uncorrected = -1.7399 eV/atom
1.0
5.346 0.000 0.000
-2.673 4.630 0.000
0.000 0.000 8.919
Pa Os Rh O
2 2 2 12
direct
0.333 0.667 0.250
0.667 0.333 0.750
0.667 0.333 0.250
0.333 0.667 0.750
0.000 0.000 0.000
0.000 0.000 0.500
0.679 0.653 0.125
0.974 0.321 0.125
0.321 0.974 0.625
0.026 0.679 0.875
0.347 0.321 0.375
0.974 0.653 0.375
0.653 0.974 0.875
0.679 0.026 0.375
0.026 0.347 0.625
0.347 0.026 0.125
0.653 0.679 0.625
0.321 0.347 0.875



MgSbBr2 PBE optimized geometry; calculated total energy = -2.783 eV per atom; distance to the lowest polymorph of the same formula = 0.246 eV per atom; calculated density = 4.13 g cm⁻³; total moment = 0.00 μB per cell; energy relative to the elements, uncorrected = -0.5175 eV/atom
1.0
-3.255 1.944 -4.647
2.215 -2.138 -2.446
-2.151 -5.094 -0.624
Br Mg Sb
2 1 1
direct
0.000 0.927 0.022
0.500 0.368 0.140
0.000 0.580 0.712
0.500 0.625 0.626



Tm13Th3 PBE optimized geometry; calculated total energy = -5.004 eV per atom; energy of formation = 0.021 eV/atom; calculated density = 9.70 g cm⁻³; total moment = 0.00 μB per cell
1.0
7.143 0.000 0.000
0.000 8.299 -0.844
0.000 0.071 8.341
Tm Th
13 3
direct
0.752 0.956 0.539
0.752 0.543 0.457
0.752 0.461 0.044
0.000 0.705 0.790
0.000 0.210 0.295
0.000 0.793 0.207
0.248 0.956 0.539
0.248 0.543 0.457
0.248 0.461 0.044
0.500 0.288 0.712
0.500 0.709 0.786
0.500 0.214 0.291
0.500 0.792 0.208
0.747 0.041 0.959
0.000 0.287 0.713
0.253 0.041 0.959



Na2MgGa12Pd3 PBE optimized geometry; calculated total energy = -3.238 eV per atom; energy of formation = -0.120 eV/atom; calculated density = 5.94 g cm⁻³; total moment = 0.00 μB per cell
1.0
6.671 -1.735 -1.231
1.786 6.658 -1.231
1.786 1.039 6.691
Na Mg Ga Pd
2 1 12 3
direct
0.612 0.612 0.612
0.388 0.388 0.388
0.000 0.000 0.000
0.373 0.373 0.959
0.800 0.800 0.293
0.293 0.800 0.800
0.959 0.373 0.373
0.800 0.293 0.800
0.373 0.959 0.373
0.627 0.627 0.041
0.200 0.200 0.707
0.707 0.200 0.200
0.041 0.627 0.627
0.200 0.707 0.200
0.627 0.041 0.627
0.500 0.000 0.000
0.000 0.500 0.000
0.000 0.000 0.500



PuH2O4 PBE optimized geometry; calculated total energy = -7.680 eV per atom; calculated density = 5.53 g cm⁻³; total moment = 2.00 μB per cell
1.0
3.628 0.112 0.634
-1.797 4.821 -1.388
0.866 0.247 5.367
Pu H O
1 2 4
direct
0.000 0.000 0.000
0.766 0.230 0.693
0.234 0.770 0.307
0.067 0.814 0.667
0.933 0.186 0.333
0.671 0.230 0.886
0.329 0.770 0.114



CeNdTmSc PBE optimized geometry; calculated total energy = -5.245 eV per atom; energy of formation = 0.131 eV/atom; calculated density = 6.85 g cm⁻³; total moment = 0.49 μB per cell
1.0
-0.403 5.179 1.949
-0.083 0.905 5.473
4.355 2.375 2.485
Sc Tm Nd Ce
1 1 1 1
direct
0.000 0.000 0.000
0.500 0.500 0.500
0.750 0.750 0.750
0.250 0.250 0.250